Material: La6Pm2NdTm
Method: DFT, PBE
State: optimized geometry Values from VASP.

```
&SYSTEM
  ibrav = 0, nat = 20, ntyp = 4
/
ATOMIC_SPECIES
La 138.91 La.upf
Pm 145.00 Pm.upf
Nd 144.24 Nd.upf
Tm 168.93 Tm.upf
CELL_PARAMETERS angstrom
4.964 -7.679 0.000
4.964 7.679 0.000
-0.089 0.000 9.303
ATOMIC_POSITIONS angstrom
La 2.447 3.352 6.337
La 4.144 5.483 8.415
La 5.650 5.483 5.540
La 4.223 2.308 0.854
La 5.661 2.308 3.798
La 2.492 -3.352 1.685
La 7.347 3.352 7.618
La 4.178 -2.308 5.506
La 5.616 -2.308 8.450
La 4.189 -5.483 3.763
La 5.694 -5.483 0.888
La 7.391 -3.352 2.966
Pm 2.432 0.689 4.048
Pm 2.388 -0.689 8.699
Pm 7.451 0.689 0.604
Pm 7.406 -0.689 5.256
Nd 4.897 1.054 6.978
Nd 4.942 -1.054 2.326
Tm 4.942 6.599 2.326
Tm 4.897 -6.599 6.978
```

## Properties
For the total magnetic moment, the calculation gives 0.0 μB/cell. The calculation puts the energy of formation from the pure elements at 0.11 eV per atom.


Material: LaPm3Nd3Tm2
Method: DFT, PBE
State: optimized geometry Values from VASP.

```
&SYSTEM
  ibrav = 0, nat = 9, ntyp = 4
/
ATOMIC_SPECIES
La 138.91 La.upf
Pm 145.00 Pm.upf
Nd 144.24 Nd.upf
Tm 168.93 Tm.upf
CELL_PARAMETERS angstrom
9.971 0.000 0.000
-4.986 8.635 0.000
0.000 0.000 3.572
ATOMIC_POSITIONS angstrom
La 0.000 0.000 0.000
Pm -1.541 2.670 1.786
Pm 3.083 0.000 1.786
Pm 3.444 5.965 1.786
Nd -3.156 5.467 0.000
Nd 1.829 3.168 0.000
Nd 6.313 0.000 0.000
Tm 0.000 5.757 1.786
Tm 4.986 2.878 1.786
```

## Properties
For the total magnetic moment, the calculation gives 0.0 μB/cell. The calculation puts the energy of formation from the pure elements at 0.05 eV per atom.


Material: LaPm2NdTm2
Method: DFT, PBE
State: optimized geometry Values from VASP.

```
&SYSTEM
  ibrav = 0, nat = 12, ntyp = 4
/
ATOMIC_SPECIES
La 138.91 La.upf
Pm 145.00 Pm.upf
Nd 144.24 Nd.upf
Tm 168.93 Tm.upf
CELL_PARAMETERS angstrom
7.065 0.000 0.000
0.000 9.942 0.000
0.000 0.000 5.733
ATOMIC_POSITIONS angstrom
La 0.000 0.000 0.000
La 3.533 4.971 2.867
Pm 1.756 3.313 0.000
Pm 1.777 8.284 2.867
Pm 5.288 1.658 2.867
Pm 5.309 6.629 0.000
Nd 0.000 4.971 2.867
Nd 3.533 0.000 0.000
Tm 1.765 1.656 2.867
Tm 1.768 6.627 0.000
Tm 5.298 3.315 0.000
Tm 5.300 8.286 2.867
```

## Properties
For the total magnetic moment, the calculation gives 0.0 μB/cell. The calculation puts the energy of formation from the pure elements at 0.07 eV per atom.